Entry from Alexandria: an optimized crystal structure of CaTlAuSeNF (PBE).

As for the total energy: -4.4394 eV/atom. The energy above the lowest structure with this stoichiometry is 0 meV per atom.

a = 3.9531 Å, b = 5.4881 Å, c = 7.4546 Å
α = 109.85°, β = 94.51°, γ = 105.75°
Space group P1 (No. 1)
Unique sites:
Ca1 0.0000 0.0000 0.0000 (multiplicity 1)
Tl1 0.8884 0.7692 0.3957 (multiplicity 1)
Au1 0.5232 0.2407 0.6999 (multiplicity 1)
Se1 0.2846 0.6059 0.6926 (multiplicity 1)
N1 0.6833 0.9100 0.6949 (multiplicity 1)
F1 0.5700 0.1241 0.1460 (multiplicity 1)


Entry from Alexandria: an optimized crystal structure of CaTlAuSeNF (PBE).

As for the total energy: -4.3465 eV/atom. The energy above the lowest structure with this stoichiometry is 93 meV per atom.

a = 6.2482 Å, b = 3.5999 Å, c = 7.3304 Å
α = 90.00°, β = 111.46°, γ = 90.00°
Space group Pm (No. 6)
Unique sites:
Ca1 0.0000 0.0000 0.0000 (multiplicity 1)
Tl1 0.7607 0.5000 0.4261 (multiplicity 1)
Au1 0.2311 0.5000 0.7719 (multiplicity 1)
Se1 0.4996 0.0000 0.9563 (multiplicity 1)
N1 0.0016 0.0000 0.6732 (multiplicity 1)
F1 0.0354 0.5000 0.1723 (multiplicity 1)


Entry from Alexandria: an optimized crystal structure of CaTlAuSeNF (PBE).

As for the total energy: -4.4029 eV/atom. The energy above the lowest structure with this stoichiometry is 37 meV per atom.

a = 3.9545 Å, b = 4.1149 Å, c = 15.9518 Å
α = 90.00°, β = 90.00°, γ = 90.00°
Space group Imm2 (No. 44)
Unique sites:
Ca1 0.0000 0.0000 0.0000 (multiplicity 2)
Tl1 0.0000 0.5000 0.7315 (multiplicity 2)
Au1 0.0000 0.0000 0.4018 (multiplicity 2)
Se1 0.0000 0.5000 0.1912 (multiplicity 2)
N1 0.0000 0.5000 0.9035 (multiplicity 2)
F1 0.0000 0.5000 0.5562 (multiplicity 2)


Entry from Alexandria: an optimized crystal structure of CaNb2AuF (PBE).

As for the total energy: -4.6186 eV/atom.

a = 5.0350 Å, b = 5.0350 Å, c = 5.5686 Å
α = 90.00°, β = 90.00°, γ = 90.00°
Space group P4/mmm (No. 123)
Unique sites:
Ca1 0.0000 0.0000 0.0000 (multiplicity 1)
Nb1 0.0000 0.5000 0.5000 (multiplicity 2)
Au1 0.5000 0.5000 0.5000 (multiplicity 1)
F1 0.5000 0.5000 0.0000 (multiplicity 1)


Entry from Alexandria: an optimized crystal structure of CaAuOF2 (PBE).

As for the total energy: -4.2613 eV/atom. The energy above the lowest structure with this stoichiometry is 0 meV per atom.

a = 4.2467 Å, b = 4.2467 Å, c = 4.6973 Å
α = 90.00°, β = 90.00°, γ = 90.00°
Space group P4/mmm (No. 123)
Unique sites:
Ca1 0.0000 0.0000 0.0000 (multiplicity 1)
Au1 0.5000 0.5000 0.5000 (multiplicity 1)
O1 0.0000 0.0000 0.5000 (multiplicity 1)
F1 0.0000 0.5000 0.0000 (multiplicity 2)


Entry from Alexandria: an optimized crystal structure of CaAuOF2 (PBE).

As for the total energy: -4.0463 eV/atom. The energy above the lowest structure with this stoichiometry is 215 meV per atom.

a = 4.7720 Å, b = 4.7720 Å, c = 3.7178 Å
α = 90.00°, β = 90.00°, γ = 90.00°
Space group P4/mmm (No. 123)
Unique sites:
Ca1 0.0000 0.0000 0.0000 (multiplicity 1)
Au1 0.5000 0.5000 0.0000 (multiplicity 1)
O1 0.5000 0.5000 0.5000 (multiplicity 1)
F1 0.0000 0.5000 0.5000 (multiplicity 2)


Entry from Alexandria: an optimized crystal structure of CaAuOF2 (PBE).

As for the total energy: -4.2188 eV/atom. The energy above the lowest structure with this stoichiometry is 43 meV per atom.

a = 4.4879 Å, b = 4.4879 Å, c = 4.1449 Å
α = 90.00°, β = 90.00°, γ = 90.00°
Space group P4/mmm (No. 123)
Unique sites:
Ca1 0.0000 0.0000 0.0000 (multiplicity 1)
Au1 0.5000 0.5000 0.5000 (multiplicity 1)
O1 0.5000 0.5000 0.0000 (multiplicity 1)
F1 0.0000 0.5000 0.5000 (multiplicity 2)


Entry from Alexandria: an optimized crystal structure of Ca2PAuF (PBE).

As for the total energy: -3.4917 eV/atom. The energy above the lowest structure with this stoichiometry is 308 meV per atom.

a = 5.5627 Å, b = 5.5627 Å, c = 4.2770 Å
α = 90.00°, β = 90.00°, γ = 90.00°
Space group P4/mmm (No. 123)
Unique sites:
Ca1 0.0000 0.5000 0.0000 (multiplicity 2)
P1 0.0000 0.0000 0.5000 (multiplicity 1)
Au1 0.5000 0.5000 0.0000 (multiplicity 1)
F1 0.5000 0.5000 0.5000 (multiplicity 1)


Entry from Alexandria: an optimized crystal structure of Ca2PAuF (PBE).

As for the total energy: -3.7999 eV/atom. The energy above the lowest structure with this stoichiometry is 0 meV per atom.

a = 5.5154 Å, b = 5.5154 Å, c = 4.1752 Å
α = 90.00°, β = 90.00°, γ = 90.00°
Space group P4/mmm (No. 123)
Unique sites:
Ca1 0.0000 0.5000 0.0000 (multiplicity 2)
P1 0.0000 0.0000 0.0000 (multiplicity 1)
Au1 0.5000 0.5000 0.5000 (multiplicity 1)
F1 0.0000 0.0000 0.5000 (multiplicity 1)


Entry from Alexandria: an optimized crystal structure of CaTiAuF2 (PBE).

As for the total energy: -5.2534 eV/atom.

a = 4.1023 Å, b = 4.1023 Å, c = 5.6224 Å
α = 90.00°, β = 90.00°, γ = 90.00°
Space group P4/mmm (No. 123)
Unique sites:
Ca1 0.0000 0.0000 0.0000 (multiplicity 1)
Ti1 0.5000 0.5000 0.5000 (multiplicity 1)
Au1 0.5000 0.5000 0.0000 (multiplicity 1)
F1 0.0000 0.5000 0.5000 (multiplicity 2)


Entry from Alexandria: an optimized crystal structure of CaFeAu2 (PBE).

As for the total energy: -4.4842 eV/atom.

a = 4.5020 Å, b = 4.5020 Å, c = 14.7110 Å
α = 90.00°, β = 90.00°, γ = 120.00°
Space group R-3m (No. 166, hexagonal axes)
Unique sites:
Ca1 0.0000 0.0000 0.0000 (multiplicity 3)
Fe1 0.0000 0.0000 0.5000 (multiplicity 3)
Au1 0.0000 0.0000 0.2094 (multiplicity 6)


Entry from Alexandria: an optimized crystal structure of CaFe4Au (PBE).

As for the total energy: -6.4063 eV/atom.

a = 7.1429 Å, b = 7.1429 Å, c = 7.1429 Å
α = 90.00°, β = 90.00°, γ = 90.00°
Space group F-43m (No. 216)
Unique sites:
Ca1 0.0000 0.0000 0.0000 (multiplicity 4)
Fe1 0.1256 0.1256 0.6256 (multiplicity 16)
Au1 0.2500 0.2500 0.2500 (multiplicity 4)